Computed, not measured: a relaxed structure of GaTc2PRh at the PBE level of DFT. Values from VASP.

Structure (Quantum ESPRESSO input):
```
&SYSTEM
  ibrav = 0, nat = 5, ntyp = 4
/
ATOMIC_SPECIES
Tc 98.00 Tc.upf
P 30.97 P.upf
Ga 69.72 Ga.upf
Rh 102.91 Rh.upf
CELL_PARAMETERS angstrom
4.568 0.000 0.000
0.000 4.387 0.000
0.000 0.000 4.568
ATOMIC_POSITIONS crystal
Tc 0.000 0.000 0.500
Tc 0.500 0.000 0.000
P 0.000 0.500 0.000
Ga 0.000 0.000 0.000
Rh 0.500 0.500 0.500
```

## Properties
The formation enthalpy at 0 K comes out at 1.65 eV/atom. The space group is P4/mmm, No. 123.

Computed, not measured: a relaxed structure of Th2GaP3Rh4 at the PBE level of DFT. Values from VASP.

Structure (Quantum ESPRESSO input):
```
&SYSTEM
  ibrav = 0, nat = 10, ntyp = 4
/
ATOMIC_SPECIES
Rh 102.91 Rh.upf
Th 232.04 Th.upf
P 30.97 P.upf
Ga 69.72 Ga.upf
CELL_PARAMETERS angstrom
-1.668 -2.221 3.058
-1.274 -2.816 -2.741
8.652 -4.984 1.100
ATOMIC_POSITIONS crystal
Rh 0.000 0.500 0.368
Rh 0.000 0.000 0.000
Rh 0.500 0.000 0.632
Rh 0.500 0.500 0.000
Th 0.000 0.500 0.752
Th 0.500 0.000 0.248
P 0.500 0.000 0.864
P 0.000 0.000 0.500
P 0.000 0.500 0.136
Ga 0.500 0.500 0.500
```

## Properties
The formation enthalpy at 0 K comes out at -1.07 eV/atom. The space group is P-4m2, No. 115.

Computed, not measured: a relaxed structure of ThGaP2Rh5 at the PBE level of DFT. Values from VASP.

Structure (Quantum ESPRESSO input):
```
&SYSTEM
  ibrav = 0, nat = 9, ntyp = 4
/
ATOMIC_SPECIES
Rh 102.91 Rh.upf
Ga 69.72 Ga.upf
Th 232.04 Th.upf
P 30.97 P.upf
CELL_PARAMETERS angstrom
3.908 0.000 0.000
0.000 3.908 0.000
0.000 0.000 11.295
ATOMIC_POSITIONS crystal
Rh 0.500 0.500 0.500
Rh 0.000 0.500 0.810
Rh 0.500 0.000 0.190
Rh 0.500 0.000 0.810
Rh 0.000 0.500 0.190
Ga 0.000 0.000 0.500
Th 0.000 0.000 0.000
P 0.500 0.500 0.704
P 0.500 0.500 0.296
```

## Properties
The formation enthalpy at 0 K comes out at -0.56 eV/atom. The space group is P4/mmm, No. 123.

Computed, not measured: a relaxed structure of Th2GaPRh6 at the PBE level of DFT. Values from VASP.

Structure (Quantum ESPRESSO input):
```
&SYSTEM
  ibrav = 0, nat = 20, ntyp = 4
/
ATOMIC_SPECIES
Rh 102.91 Rh.upf
P 30.97 P.upf
Th 232.04 Th.upf
Ga 69.72 Ga.upf
CELL_PARAMETERS angstrom
-0.636 5.294 1.853
-1.002 -2.617 7.133
8.529 0.536 1.395
ATOMIC_POSITIONS crystal
Rh 0.252 0.549 0.000
Rh 0.246 0.990 0.500
Rh 0.746 0.010 0.000
Rh 0.000 0.890 0.751
Rh 0.500 0.110 0.251
Rh 0.500 0.110 0.749
Rh 0.248 0.451 0.500
Rh 0.000 0.890 0.249
Rh 0.748 0.549 0.000
Rh 0.254 0.010 0.000
Rh 0.752 0.451 0.500
Rh 0.754 0.990 0.500
P 0.000 0.776 0.000
P 0.500 0.224 0.500
Th 0.500 0.730 0.737
Th 0.500 0.730 0.263
Th 0.000 0.270 0.763
Th 0.000 0.270 0.237
Ga 0.000 0.714 0.500
Ga 0.500 0.286 0.000
```

## Properties
The formation enthalpy at 0 K comes out at -0.79 eV/atom. The space group is Pmmn, No. 59.

Computed, not measured: a relaxed structure of Ti2GaPRh at the PBE level of DFT. Values from VASP.

Structure (Quantum ESPRESSO input):
```
&SYSTEM
  ibrav = 0, nat = 5, ntyp = 4
/
ATOMIC_SPECIES
Rh 102.91 Rh.upf
Ga 69.72 Ga.upf
Ti 47.87 Ti.upf
P 30.97 P.upf
CELL_PARAMETERS angstrom
-4.440 -0.238 1.809
-1.385 -1.918 -3.650
0.998 -4.302 1.882
ATOMIC_POSITIONS crystal
Rh 0.000 0.000 0.000
Ga 0.500 0.500 0.500
Ti 0.500 0.000 0.000
Ti 0.000 0.000 0.500
P 0.000 0.500 0.000
```

## Properties
The formation enthalpy at 0 K comes out at 0.22 eV/atom. The space group is P4/mmm, No. 123.

Computed, not measured: a relaxed structure of Y3GaP2Rh9 at the PBE level of DFT. Values from VASP.

Structure (Quantum ESPRESSO input):
```
&SYSTEM
  ibrav = 0, nat = 15, ntyp = 4
/
ATOMIC_SPECIES
Rh 102.91 Rh.upf
Y 88.91 Y.upf
P 30.97 P.upf
Ga 69.72 Ga.upf
CELL_PARAMETERS angstrom
6.045 0.000 0.000
-3.023 5.235 0.000
0.000 0.000 8.819
ATOMIC_POSITIONS crystal
Rh 0.000 0.500 0.000
Rh 0.500 0.500 0.000
Rh 0.849 0.151 0.718
Rh 0.151 0.849 0.282
Rh 0.698 0.849 0.282
Rh 0.151 0.302 0.282
Rh 0.500 0.000 0.000
Rh 0.302 0.151 0.718
Rh 0.849 0.698 0.718
Y 0.667 0.333 0.316
Y 0.333 0.667 0.684
Y 0.000 0.000 0.000
P 0.667 0.333 0.835
P 0.333 0.667 0.165
Ga 0.000 0.000 0.500
```

## Properties
The formation enthalpy at 0 K comes out at -0.64 eV/atom. The space group is P-3m1, No. 164.